DFT (PBE+U) results for an optimized crystal structure of YInWO6.

CIF file:
```
data_YInWO6
_space_group_name_H-M_alt 'P 42 n m'
_space_group_IT_number 102
_space_group_name_Hall 'P 4n -2n'
_cell_length_a 4.9654
_cell_length_b 4.9654
_cell_length_c 9.8529
_cell_angle_alpha 90.00
_cell_angle_beta 90.00
_cell_angle_gamma 90.00
loop_
_atom_site_label
_atom_site_type_symbol
_atom_site_fract_x
_atom_site_fract_y
_atom_site_fract_z
_atom_site_occupancy
Y1 Y 0.0000 0.0000 0.0000 1
In1 In 0.0000 0.0000 0.6698 1
W1 W 0.0000 0.0000 0.3336 1
O1 O 0.1813 0.1813 0.4864 1
O2 O 0.1901 0.1901 0.1907 1
O3 O 0.2198 0.2198 0.8307 1
```

Results
energy: -0.2740 Ha/atom
M_tot: 0.000 μB per atom